<P>
Entry from the Alexandria database: an optimized crystal structure of Ni3H6Rh (PBE).

Lattice parameters (Å, degrees): 6.876 8.447 4.478 90.00 90.00 90.00
Space group Cmc2_1 (No. 36)
Unique sites:
1 Ni 0.000 0.097 0.000
2 Ni 0.205 0.401 0.936
3 H 0.000 0.278 0.810
4 H 0.000 0.486 0.122
5 H 0.156 0.022 0.718
6 H 0.174 0.229 0.195
7 Rh 0.000 0.320 0.435


<Q>
Entry from the Alexandria database: an optimized crystal structure of Ni3H6Rh (PBE).

Lattice parameters (Å, degrees): 2.745 6.879 7.003 105.45 90.15 90.31
Space group P-1 (No. 2)
Unique sites:
1 Ni 0.248 0.105 0.162
2 Ni 0.249 0.828 0.487
3 Ni 0.250 0.523 0.681
4 H 0.248 0.039 0.391
5 H 0.250 0.781 0.721
6 H 0.251 0.575 0.455
7 H 0.255 0.275 0.713
8 H 0.260 0.097 0.912
9 H 0.267 0.426 0.111
10 Rh 0.265 0.696 0.085


Q: Which of them is the most stable? A: <Q>.


<P>
Entry from the Alexandria database: an optimized crystal structure of NiH4Rh2 (PBE).

Lattice parameters (Å, degrees): 2.8141 2.8141 23.8669 90.00 90.00 120.00
Space group R-3m (No. 166, hexagonal axes)
Unique sites:
1 Ni 0.0000 0.0000 0.0000
2 H 0.0000 0.0000 0.1944
3 H 0.0000 0.0000 0.3936
4 Rh 0.0000 0.0000 0.1057


<Q>
Entry from the Alexandria database: an optimized crystal structure of NiH4Rh2 (PBE).

Lattice parameters (Å, degrees): 9.015 2.845 4.424 90.00 113.32 90.00
Space group C2/m (No. 12)
Unique sites:
1 Ni 0.000 0.000 0.000
2 H 0.123 0.500 0.021
3 H 0.125 0.000 0.419
4 Rh 0.173 0.500 0.688


Q: Which of them is the most stable? A: <Q>.